Below is crystalline SrCa2Y2 at its relaxed geometry, with properties calculated at the PBE level.

- ρ (g/cm³) = 2.74
- size of the total moment (μB per formula unit) = 0.00
- SG = No. 139
- DFT total energy (eV/atom) = -3.30
- formation energy from the elements (meV per atom) = 427
- E above lowest polymorph (eV per atom) = 0.238

a = 9.4794 Å, b = 9.4794 Å, c = 9.4794 Å
α = 150.24°, β = 150.24°, γ = 42.59°
Element x y z (fractional)
Ca: 0.7500 0.2500 0.5000
Ca: 0.2500 0.7500 0.5000
Sr: 0.0000 0.0000 0.0000
Y: 0.4067 0.4067 0.0000
Y: 0.5933 0.5933 0.0000